TmAgSn | Alexandria via LeMat-Bulk | PBE | relaxed; ΔE_f = 114 meV/atom
1.0
-1.3586 1.6351 4.4403
-4.5389 -4.2014 0.1584
4.5033 -3.3448 2.6096
Sn Ag Tm
2 2 2
Direct
0.0000 0.0000 0.0000
0.5000 0.5000 0.5000
0.0000 0.6702 0.6702
0.0000 0.3298 0.3298
0.5000 0.8170 0.1830
0.5000 0.1830 0.8170

***

PmThInAg | Alexandria via LeMat-Bulk | PBE | relaxed; ΔE_f = -222 meV/atom
1.0
5.3939 0.0000 0.0000
2.6969 4.6712 0.0000
2.6969 1.5571 4.4041
Ag Th In Pm
1 1 1 1
Direct
0.2500 0.2500 0.2500
0.0000 0.0000 0.0000
0.7500 0.7500 0.7500
0.5000 0.5000 0.5000

***

AgGe2S3 | Alexandria via LeMat-Bulk | PBE | relaxed; formation energy (no corrections) = -132 meV/atom
1.0
-1.8730 -2.4954 -2.8887
9.7471 -2.6685 -4.0147
-1.4231 -3.2416 6.8524
S Ge Ag
6 4 2
Direct
0.4104 0.7366 0.8209
0.2860 0.2882 0.5719
0.0973 0.9560 0.1945
0.9027 0.0440 0.8055
0.7140 0.7118 0.4281
0.5896 0.2634 0.1791
0.2381 0.5967 0.4762
0.8974 0.8303 0.7949
0.1026 0.1697 0.2051
0.7619 0.4033 0.5238
0.3261 0.0815 0.6521
0.6739 0.9185 0.3479

***

LaHgPd2 | Alexandria via LeMat-Bulk | PBE | relaxed; ΔE_f = -678 meV/atom
1.0
-1.2893 1.0470 4.0505
2.3979 -4.6401 1.9627
6.2315 3.6592 1.0377
Pd La Hg
4 2 2
Direct
0.5000 0.0000 0.0000
0.0000 0.2500 0.1419
0.5000 0.5000 0.0000
0.0000 0.7500 0.8581
0.0000 0.7500 0.2654
0.0000 0.2500 0.7346
0.5000 0.7500 0.6181
0.5000 0.2500 0.3819

***

ZrSiAs2Br | Alexandria via LeMat-Bulk | PBE | relaxed; ΔE to the lowest computed polymorph = 0.000 eV/atom; formation energy (no corrections) = 367 meV/atom
1.0
-0.7159 -4.2176 -3.0590
-0.6746 -2.9867 4.2758
-5.0729 0.9569 -0.1320
As Zr Si Br
2 1 1 1
Direct
0.0000 0.5000 0.0000
0.5000 0.0000 0.0000
0.0000 0.0000 0.0000
0.5000 0.5000 0.5000
0.0000 0.0000 0.5000

***

Sm4Ga | Alexandria via LeMat-Bulk | PBE | relaxed; ΔE to the lowest computed polymorph = 0.183 eV/atom; ΔE_f = 119 meV/atom
1.0
-3.9416 -3.3442 -2.2214
1.3371 -4.0289 3.6926
-3.7856 2.0590 3.6173
Ga Sm
1 4
Direct
0.5000 0.5000 0.5000
0.0000 0.0000 0.0000
0.0000 0.5000 0.5000
0.5000 0.0000 0.5000
0.5000 0.5000 0.0000

***

NdErBi | Alexandria via LeMat-Bulk | PBE | relaxed; ΔE_f = -644 meV/atom
1.0
-3.6434 -1.0109 2.6257
-2.0046 -2.0818 -3.5831
3.7850 -7.6289 2.3150
Er Nd Bi
2 2 2
Direct
0.5000 0.5000 0.0000
0.0000 0.0000 0.0000
0.0000 0.5000 0.6509
0.5000 0.0000 0.3491
0.5000 0.0000 0.7266
0.0000 0.5000 0.2734

***

Te12PtRh5 | Alexandria via LeMat-Bulk | PBE | relaxed; formation energy (no corrections) = -378 meV/atom
1.0
6.9870 0.0000 -0.0563
3.4935 5.8858 -0.0282
-0.0967 0.0000 11.4911
Rh Te Pt
5 12 1
Direct
0.3331 0.3337 0.0000
0.6669 0.6663 0.0000
0.1663 0.6674 0.5000
0.5000 0.0000 0.5000
0.8337 0.3326 0.5000
0.4916 0.6661 0.3815
0.5084 0.3340 0.6185
0.1753 0.0000 0.6190
0.9976 0.6618 0.1204
0.3407 0.6618 0.8796
0.8247 0.0000 0.3810
0.1577 0.3340 0.3815
0.8423 0.6660 0.6185
0.6593 0.3382 0.1204
0.6654 0.0000 0.8806
0.0025 0.3382 0.8796
0.3346 0.0000 0.1194
0.0000 0.0000 0.0000

***

CsMnInH6 | Alexandria via LeMat-Bulk | PBE | relaxed; calculated total energy = -32.7 eV for the cell shown
1.0
-0.0171 -3.8179 -2.7233
0.6565 -4.2419 1.8989
-6.5008 -0.6092 0.8914
Mn H Cs In
1 6 1 1
Direct
0.3332 0.3334 0.5000
0.0976 0.2699 0.3506
0.0976 0.6324 0.6496
0.6335 0.0970 0.3516
0.2702 0.0973 0.6494
0.2705 0.6322 0.3502
0.6334 0.2693 0.6484
0.9974 0.0017 0.0000
0.6664 0.6668 0.5000

***

Rb4SCl2 | Alexandria via LeMat-Bulk | PBE | relaxed; ΔE to the lowest computed polymorph = 0.114 eV/atom; formation energy (no corrections) = -1372 meV/atom
1.0
6.2376 0.0000 0.0000
0.0000 6.2376 0.0000
3.1188 3.1188 8.7369
Rb S Cl
4 1 2
Direct
0.5000 0.0000 0.0000
0.0000 0.5000 0.0000
0.8216 0.8216 0.3567
0.1784 0.1784 0.6433
0.0000 0.0000 0.0000
0.3603 0.3603 0.2794
0.6397 0.6397 0.7206

***

HfOsIO2 | Alexandria via LeMat-Bulk | PBE | relaxed; ΔE to the lowest computed polymorph = 0.000 eV/atom; formation energy (no corrections) = -583 meV/atom
1.0
3.9910 0.0000 0.0000
0.0000 3.9910 0.0000
0.0000 0.0000 6.2876
O Hf Os I
2 1 1 1
Direct
0.5000 0.0000 0.0000
0.0000 0.5000 0.0000
0.0000 0.0000 0.0000
0.5000 0.5000 0.5000
0.0000 0.0000 0.5000

***

TiZnTcIr2 | Alexandria via LeMat-Bulk | PBE | relaxed; ΔE_f = 1217 meV/atom
1.0
-1.1261 -1.5721 -4.0045
-0.5577 -4.0695 1.7545
-4.2660 0.9424 0.8297
Ti Ir Tc Zn
1 2 1 1
Direct
0.0000 0.5000 0.0000
0.5000 0.0000 0.0000
0.0000 0.0000 0.5000
0.5000 0.5000 0.5000
0.0000 0.0000 0.0000

***

PaGaCuSn | Alexandria via LeMat-Bulk | PBE | relaxed; ΔE_f = -51 meV/atom
1.0
4.8516 0.0000 0.0000
2.4258 4.2016 0.0000
2.4258 1.4005 3.9613
Sn Cu Ga Pa
1 1 1 1
Direct
0.2500 0.2500 0.2500
0.0000 0.0000 0.0000
0.5000 0.5000 0.5000
0.7500 0.7500 0.7500

***

MnZn | Alexandria via LeMat-Bulk | PBE | relaxed; ΔE_f = 253 meV/atom
1.0
7.1184 0.0000 0.0000
0.0000 7.1184 0.0000
0.0000 0.0000 4.2130
Mn Zn
8 8
Direct
0.6532 0.3468 0.5000
0.1532 0.8468 0.0000
0.1532 0.1532 0.0000
0.3468 0.3468 0.5000
0.6532 0.6532 0.5000
0.3468 0.6532 0.5000
0.8468 0.8468 0.0000
0.8468 0.1532 0.0000
0.2880 0.0000 0.5000
0.7880 0.5000 0.0000
0.0000 0.2880 0.5000
0.7120 0.0000 0.5000
0.2120 0.5000 0.0000
0.5000 0.7880 0.0000
0.0000 0.7120 0.5000
0.5000 0.2120 0.0000

***

Np2PaCrC4 | Alexandria via LeMat-Bulk | PBE | relaxed; ΔE_f = 47 meV/atom
1.0
3.3690 0.0000 0.0000
-1.6845 5.7050 0.0000
0.0000 0.0000 11.7930
C Pa Cr Np
8 2 2 4
Direct
0.2756 0.5512 0.1323
0.2756 0.5512 0.3677
0.4368 0.8737 0.7500
0.0000 0.0000 0.5000
0.0000 0.0000 0.0000
0.7244 0.4488 0.8677
0.5632 0.1263 0.2500
0.7244 0.4488 0.6323
0.9012 0.8023 0.2500
0.0988 0.1977 0.7500
0.1648 0.3296 0.2500
0.8352 0.6704 0.7500
0.3638 0.7276 0.5469
0.6362 0.2724 0.4531
0.6362 0.2724 0.0469
0.3638 0.7276 0.9531

***

Ho2Ga3Ni4Pt | Alexandria via LeMat-Bulk | PBE | relaxed; ΔE_f = -592 meV/atom
1.0
3.8244 0.0000 0.0000
0.0000 3.8244 0.0000
0.0000 0.0000 11.0825
Ga Ni Ho Pt
3 4 2 1
Direct
0.0000 0.0000 0.5000
0.5000 0.0000 0.8693
0.0000 0.5000 0.1307
0.0000 0.5000 0.3445
0.5000 0.5000 0.0000
0.0000 0.0000 0.0000
0.5000 0.0000 0.6555
0.5000 0.0000 0.2609
0.0000 0.5000 0.7391
0.5000 0.5000 0.5000

***

FeIrPb2 | Alexandria via LeMat-Bulk | PBE | relaxed; ΔE to the lowest computed polymorph = 0.395 eV/atom; ΔE_f = 633 meV/atom
1.0
4.6525 0.0917 -0.0284
3.4788 3.0906 -0.0284
1.2241 0.4791 5.7374
Pb Fe Ir
2 1 1
Direct
0.9994 0.9994 0.0006
0.5006 0.5006 0.4994
0.7500 0.7500 0.7500
0.2500 0.2500 0.2500

***

HIrPd2Pb | Alexandria via LeMat-Bulk | PBE | relaxed; calculated total energy = -26.4 eV for the cell shown
1.0
-3.9907 -0.8045 0.8618
0.9535 -0.4136 4.0293
-0.6775 3.9691 0.5678
Pd Ir H Pb
2 1 1 1
Direct
0.5000 0.0000 0.0000
0.0000 0.5000 0.0000
0.0000 0.0000 0.5000
0.0000 0.0000 0.0000
0.5000 0.5000 0.5000

***

CsMgAl2Br8 | Alexandria via LeMat-Bulk | PBE | relaxed; formation energy (no corrections) = -1169 meV/atom
1.0
-0.6551 -3.9537 5.8234
0.0980 -7.0518 -0.4859
10.1622 -3.6077 2.9845
Br Mg Cs Al
8 1 1 2
Direct
0.9546 0.5822 0.1777
0.8243 0.8243 0.5270
0.7145 0.0454 0.8223
0.1757 0.1757 0.4730
0.4178 0.7145 0.8223
0.2855 0.9546 0.1777
0.0454 0.4178 0.8223
0.5822 0.2855 0.1777
0.0000 0.0000 0.0000
0.5000 0.5000 0.5000
0.2502 0.2502 0.2495
0.7498 0.7498 0.7505

***

Tm4Sn2H | Alexandria via LeMat-Bulk | PBE | relaxed; calculated total energy = -66.8 eV for the cell shown
1.0
-2.8963 2.4541 -4.8849
4.7511 -1.9943 -3.8189
-2.6627 -8.4666 1.1088
Tm Sn H
8 4 2
Direct
0.8650 0.2500 0.0568
0.1350 0.7500 0.9432
0.5387 0.9991 0.2957
0.0706 0.7500 0.3504
0.9294 0.2500 0.6496
0.5387 0.5009 0.2957
0.4613 0.0009 0.7043
0.4613 0.4991 0.7043
0.8374 0.7500 0.5994
0.1626 0.2500 0.4006
0.6885 0.7500 0.0298
0.3115 0.2500 0.9702
0.2909 0.7500 0.2040
0.7091 0.2500 0.7960

***

no.,total moment (μB/cell)
1,0.000
2,0.480
3,0.000
4,0.000
5,0.000
6,0.003
7,0.000
8,0.000
9,1.000
10,0.000
11,2.539
12,1.352
13,0.593
14,0.003
15,11.465
16,0.000
17,2.895
18,0.000
19,0.987
20,0.000